CsLiZnIn2 | PBE-GGA | relaxed

The structure in CIF format:
```
data_CsLiZnIn2
_chemical_formula_sum 'Cs1 Li1 Zn1 In2'
_cell_length_a 5.254
_cell_length_b 5.254
_cell_length_c 6.674
_cell_angle_alpha 90.00
_cell_angle_beta 90.00
_cell_angle_gamma 90.00
_space_group_name_H-M_alt 'P 4/m m m'
_space_group_IT_number 123
_space_group_name_Hall '-P 4 2'
loop_
_atom_site_label
_atom_site_fract_x
_atom_site_fract_y
_atom_site_fract_z
Cs1 0.000 0.000 0.000
Li1 0.000 0.000 0.500
Zn1 0.500 0.500 0.000
In1 0.000 0.500 0.500
```

Computed properties:
- formation enthalpy at 0 K (eV/atom) = 0.2896

PaSiTe6 | PBE-GGA | relaxed

The structure in CIF format:
```
data_PaSiTe6
_chemical_formula_sum 'Pa1 Si1 Te6'
_cell_length_a 5.538
_cell_length_b 6.584
_cell_length_c 8.089
_cell_angle_alpha 103.98
_cell_angle_beta 105.67
_cell_angle_gamma 102.22
_space_group_name_H-M_alt 'P -1'
_space_group_IT_number 2
loop_
_space_group_symop_operation_xyz
'x,y,z'
'-x,-y,-z'
loop_
_atom_site_label
_atom_site_fract_x
_atom_site_fract_y
_atom_site_fract_z
Pa1 0.000 0.000 0.000
Si1 0.000 0.500 0.500
Te1 0.083 0.237 0.736
Te2 0.276 0.469 0.267
Te3 0.377 0.876 0.771
```

Computed properties:
- energy (eV/atom) = -4.38

In2PRh | PBE-GGA | relaxed

The structure in CIF format:
```
data_In2PRh
_chemical_formula_sum 'In2 P1 Rh1'
_cell_length_a 3.142
_cell_length_b 3.142
_cell_length_c 8.112
_cell_angle_alpha 90.00
_cell_angle_beta 90.00
_cell_angle_gamma 90.00
_space_group_name_H-M_alt 'P 4 m m'
_space_group_IT_number 99
loop_
_space_group_symop_operation_xyz
'x,y,z'
'-y,x,z'
'-x,-y,z'
'y,-x,z'
'-x,y,z'
'y,x,z'
'x,-y,z'
'-y,-x,z'
loop_
_atom_site_label
_atom_site_fract_x
_atom_site_fract_y
_atom_site_fract_z
In1 0.000 0.000 0.000
In2 0.500 0.500 0.337
P1 0.000 0.000 0.620
Rh1 0.500 0.500 0.742
```

Computed properties:
- formation enthalpy at 0 K (eV/atom) = -0.1531

AcNiSb2Pd | PBE-GGA | relaxed

The structure in CIF format:
```
data_AcNiSb2Pd
_chemical_formula_sum 'Ac2 Ni2 Sb4 Pd2'
_cell_length_a 4.640
_cell_length_b 4.640
_cell_length_c 10.809
_cell_angle_alpha 90.00
_cell_angle_beta 90.00
_cell_angle_gamma 90.00
_space_group_name_H-M_alt 'I -4 m 2'
_space_group_IT_number 119
_space_group_name_Hall 'I -4 -2'
loop_
_atom_site_label
_atom_site_fract_x
_atom_site_fract_y
_atom_site_fract_z
Ac1 0.000 0.000 0.000
Ni1 0.000 0.500 0.750
Sb1 0.000 0.000 0.363
Pd1 0.000 0.500 0.250
```

Computed properties:
- energy (eV/atom) = -5.38

RbNa2PtF8 | PBE-GGA | relaxed

The structure in CIF format:
```
data_RbNa2PtF8
_chemical_formula_sum 'Rb1 Na2 Pt1 F8'
_cell_length_a 5.030
_cell_length_b 5.046
_cell_length_c 7.814
_cell_angle_alpha 90.12
_cell_angle_beta 90.25
_cell_angle_gamma 91.87
_space_group_name_H-M_alt 'P -1'
_space_group_IT_number 2
loop_
_space_group_symop_operation_xyz
'x,y,z'
'-x,-y,-z'
loop_
_atom_site_label
_atom_site_fract_x
_atom_site_fract_y
_atom_site_fract_z
Rb1 0.000 0.000 0.000
Na1 0.499 0.499 0.734
Pt1 0.000 0.000 0.500
F1 0.219 0.849 0.319
F2 0.222 0.853 0.682
F3 0.241 0.314 0.499
F4 0.282 0.487 0.000
```

Computed properties:
- energy (eV/atom) = -4.09

Ba2AgHg | PBE-GGA | relaxed

The structure in CIF format:
```
data_Ba2AgHg
_chemical_formula_sum 'Ba4 Ag2 Hg2'
_cell_length_a 5.235
_cell_length_b 4.633
_cell_length_c 12.607
_cell_angle_alpha 90.00
_cell_angle_beta 90.00
_cell_angle_gamma 90.00
_space_group_name_H-M_alt 'A m m 2'
_space_group_IT_number 38
loop_
_space_group_symop_operation_xyz
'x,y,z'
'-x,-y,z'
'-x,y,z'
'x,-y,z'
'x,y+1/2,z+1/2'
'-x,-y+1/2,z+1/2'
'-x,y+1/2,z+1/2'
'x,-y+1/2,z+1/2'
loop_
_atom_site_label
_atom_site_fract_x
_atom_site_fract_y
_atom_site_fract_z
Ba1 0.000 0.000 0.000
Ba2 0.500 0.000 0.276
Ag1 0.500 0.000 0.567
Hg1 0.000 0.000 0.711
```

Computed properties:
- formation enthalpy at 0 K (eV/atom) = -0.3788

CdHg2Ge | PBE-GGA | relaxed

The structure in CIF format:
```
data_CdHg2Ge
_chemical_formula_sum 'Cd1 Hg2 Ge1'
_cell_length_a 4.543
_cell_length_b 4.543
_cell_length_c 4.413
_cell_angle_alpha 90.00
_cell_angle_beta 90.00
_cell_angle_gamma 90.00
_space_group_name_H-M_alt 'P 4/m m m'
_space_group_IT_number 123
_space_group_name_Hall '-P 4 2'
loop_
_atom_site_label
_atom_site_fract_x
_atom_site_fract_y
_atom_site_fract_z
Cd1 0.000 0.000 0.000
Hg1 0.000 0.500 0.500
Ge1 0.500 0.500 0.000
```

Computed properties:
- formation enthalpy at 0 K (eV/atom) = 0.1728
- ΔE to the lowest computed polymorph (eV/atom) = 0.018

NaTl | PBE-GGA | relaxed

The structure in CIF format:
```
data_NaTl
_chemical_formula_sum 'Na4 Tl4'
_cell_length_a 11.229
_cell_length_b 3.589
_cell_length_c 5.808
_cell_angle_alpha 90.00
_cell_angle_beta 100.27
_cell_angle_gamma 90.00
_space_group_name_H-M_alt 'C 1 2/m 1'
_space_group_IT_number 12
loop_
_space_group_symop_operation_xyz
'x,y,z'
'-x,-y,-z'
'-x,y,-z'
'x,-y,z'
'x+1/2,y+1/2,z'
'-x+1/2,-y+1/2,-z'
'-x+1/2,y+1/2,-z'
'x+1/2,-y+1/2,z'
loop_
_atom_site_label
_atom_site_fract_x
_atom_site_fract_y
_atom_site_fract_z
Na1 0.115 0.000 0.351
Tl1 0.131 0.500 0.863
```

Computed properties:
- formation enthalpy at 0 K (eV/atom) = -0.1048

SrPaAgO4 | PBE-GGA | relaxed

The structure in CIF format:
```
data_SrPaAgO4
_chemical_formula_sum 'Sr4 Pa4 Ag4 O16'
_cell_length_a 7.004
_cell_length_b 7.204
_cell_length_c 9.964
_cell_angle_alpha 90.00
_cell_angle_beta 90.00
_cell_angle_gamma 90.00
_space_group_name_H-M_alt 'I m m a'
_space_group_IT_number 74
_space_group_name_Hall '-I 2b 2'
loop_
_atom_site_label
_atom_site_fract_x
_atom_site_fract_y
_atom_site_fract_z
Sr1 0.000 0.250 0.146
Pa1 0.000 0.000 0.500
Ag1 0.250 0.250 0.750
O1 0.000 0.016 0.709
O2 0.198 0.250 0.479
```

Computed properties:
- energy (eV/atom) = -7.42

CaTlTc | PBE-GGA | relaxed

The structure in CIF format:
```
data_CaTlTc
_chemical_formula_sum 'Ca4 Tl4 Tc4'
_cell_length_a 6.999
_cell_length_b 6.999
_cell_length_c 6.999
_cell_angle_alpha 90.00
_cell_angle_beta 90.00
_cell_angle_gamma 90.00
_space_group_name_H-M_alt 'F -4 3 m'
_space_group_IT_number 216
_space_group_name_Hall 'F -4 2 3'
loop_
_atom_site_label
_atom_site_fract_x
_atom_site_fract_y
_atom_site_fract_z
Ca1 0.000 0.000 0.000
Tl1 0.250 0.250 0.250
Tc1 0.250 0.250 0.750
```

Computed properties:
- formation enthalpy at 0 K (eV/atom) = 1.2063
- ΔE to the lowest computed polymorph (eV/atom) = 0.762

YMnIn | PBE-GGA | relaxed

The structure in CIF format:
```
data_YMnIn
_chemical_formula_sum 'Y1 Mn1 In1'
_cell_length_a 3.3711
_cell_length_b 3.3711
_cell_length_c 7.1660
_cell_angle_alpha 90.00
_cell_angle_beta 90.00
_cell_angle_gamma 120.00
_space_group_name_H-M_alt 'P 3 m 1'
_space_group_IT_number 156
loop_
_space_group_symop_operation_xyz
'x,y,z'
'-y,x-y,z'
'-x+y,-x,z'
'-y,-x,z'
'-x+y,y,z'
'x,x-y,z'
loop_
_atom_site_label
_atom_site_fract_x
_atom_site_fract_y
_atom_site_fract_z
Y1 0.0000 0.0000 0.0000
Mn1 0.6667 0.3333 0.6781
In1 0.3333 0.6667 0.3770
```

Computed properties:
- formation enthalpy at 0 K (eV/atom) = 0.2068

LiZn3Au7 | PBE-GGA | relaxed

The structure in CIF format:
```
data_LiZn3Au7
_chemical_formula_sum 'Li2 Zn6 Au14'
_cell_length_a 8.374
_cell_length_b 9.575
_cell_length_c 5.484
_cell_angle_alpha 90.00
_cell_angle_beta 112.77
_cell_angle_gamma 90.00
_space_group_name_H-M_alt 'C 1 2/m 1'
_space_group_IT_number 12
loop_
_space_group_symop_operation_xyz
'x,y,z'
'-x,-y,-z'
'-x,y,-z'
'x,-y,z'
'x+1/2,y+1/2,z'
'-x+1/2,-y+1/2,-z'
'-x+1/2,y+1/2,-z'
'x+1/2,-y+1/2,z'
loop_
_atom_site_label
_atom_site_fract_x
_atom_site_fract_y
_atom_site_fract_z
Li1 0.000 0.000 0.000
Zn1 0.000 0.269 0.500
Zn2 0.000 0.500 0.000
Au1 0.000 0.000 0.500
Au2 0.174 0.264 0.183
Au3 0.184 0.500 0.550
```

Computed properties:
- formation enthalpy at 0 K (eV/atom) = -0.1525

KTc3Pb | PBE-GGA | relaxed

The structure in CIF format:
```
data_KTc3Pb
_chemical_formula_sum 'K1 Tc3 Pb1'
_cell_length_a 4.724
_cell_length_b 4.724
_cell_length_c 4.724
_cell_angle_alpha 90.00
_cell_angle_beta 90.00
_cell_angle_gamma 90.00
_space_group_name_H-M_alt 'P m -3 m'
_space_group_IT_number 221
_space_group_name_Hall '-P 4 2 3'
loop_
_atom_site_label
_atom_site_fract_x
_atom_site_fract_y
_atom_site_fract_z
K1 0.000 0.000 0.000
Tc1 0.000 0.000 0.500
Pb1 0.500 0.500 0.500
```

Computed properties:
- formation enthalpy at 0 K (eV/atom) = 2.8906
- ΔE to the lowest computed polymorph (eV/atom) = 0.675